KTl2Hg PBEsol relaxed; formation enthalpy at 0 K = -68 meV/atom; Fermi-level density of states = 1.88 states/eV/f.u.; mass density = 9.2 g/cm3; E above lowest polymorph = 0.0418 eV/atom; SG = Cm, No. 8; total moment = 0.00 Bohr magnetons per cell
1.0
3.388 0.000 0.000
-1.694 5.314 0.156
0.000 -1.055 6.493
Tl K Hg
2 1 1
Direct
0.249 0.499 0.748 Tl
0.995 0.990 0.968 Tl
0.753 0.505 0.261 K
0.503 0.006 0.524 Hg